Record 1
A relaxed Pr2Dy2Al crystal, computed with PBE.

Unit cell a=4.3153 b=4.3153 c=9.3767 alpha=103.30 beta=103.30 gamma=90.00
With the nearest neighbours (Å) after each atom.
Positions (direct):
Al 0.0000 0.0000 0.0000  8 Dy 3.39
Dy 0.5839 0.5839 0.1678  1 Dy 2.98
Dy 0.4161 0.4161 0.8322  1 Dy 2.98
Pr 0.7500 0.2500 0.5000  4 Pr 3.05
Pr 0.2500 0.7500 0.5000  4 Pr 3.05


Record 2
A relaxed Pr12Dy3Al5 crystal, computed with PBE.

Unit cell a=15.9657 b=15.9657 c=15.9657 alpha=109.47 beta=109.47 gamma=109.47
With the nearest neighbours (Å) after each atom.
Positions (direct):
Dy 0.2500 0.6250 0.8750  8 Pr 3.35-3.66
Dy 0.7500 0.3750 0.1250  8 Pr 3.35-3.66
Dy 0.1250 0.2500 0.8750  8 Pr 3.35-3.66
Dy 0.2500 0.1250 0.3750  8 Pr 3.35-3.66
Dy 0.6250 0.2500 0.3750  8 Pr 3.35-3.66
Dy 0.6250 0.3750 0.7500  8 Pr 3.35-3.66
Dy 0.1250 0.8750 0.7500  8 Pr 3.35-3.66
Dy 0.7500 0.8750 0.6250  8 Pr 3.35-3.66
Dy 0.3750 0.6250 0.2500  8 Pr 3.35-3.66
Dy 0.8750 0.7500 0.1250  8 Pr 3.35-3.66
Dy 0.8750 0.1250 0.2500  8 Pr 3.35-3.66
Dy 0.3750 0.7500 0.6250  8 Pr 3.35-3.66
Pr 0.3299 0.5444 0.4274  2 Al 2.98-2.99
Pr 0.4556 0.6701 0.0726  2 Al 2.98-2.99
Pr 0.0444 0.4274 0.8299  2 Al 2.98-2.99
Pr 0.1701 0.0726 0.9556  2 Al 2.98-2.99
Pr 0.4556 0.7855 0.8830  2 Al 2.98-2.99
Pr 0.4024 0.1170 0.5726  2 Al 2.98-2.99
Pr 0.5444 0.2145 0.1170  2 Al 2.98-2.99
Pr 0.1701 0.0976 0.7145  2 Al 2.98-2.99
Pr 0.0976 0.1701 0.2145  2 Al 2.98-2.99
Pr 0.7855 0.3299 0.9024  2 Al 2.98-2.99
Pr 0.0976 0.9274 0.3830  2 Al 2.98-2.99
Pr 0.5976 0.7145 0.6701  2 Al 2.98-2.99
Pr 0.4274 0.3830 0.5976  2 Al 2.98-2.99
Pr 0.9556 0.5726 0.1701  2 Al 2.98-2.99
Pr 0.4274 0.0444 0.3299  2 Al 2.98-2.99
Pr 0.1170 0.4024 0.0726  2 Al 2.98-2.99
Pr 0.3830 0.9556 0.7855  2 Al 2.98-2.99
Pr 0.0444 0.6170 0.7145  2 Al 2.98-2.99
Pr 0.6170 0.5726 0.9024  2 Al 2.98-2.99
Pr 0.9024 0.0726 0.6170  2 Al 2.98-2.99
Pr 0.3830 0.4274 0.0976  2 Al 2.98-2.99
Pr 0.6170 0.0444 0.2145  2 Al 2.98-2.99
Pr 0.2145 0.6701 0.0976  2 Al 2.98-2.99
Pr 0.9024 0.8299 0.7855  2 Al 2.98-2.99
Pr 0.5976 0.8830 0.4274  2 Al 2.98-2.99
Pr 0.2145 0.5444 0.6170  2 Al 2.98-2.99
Pr 0.8299 0.9024 0.2855  2 Al 2.98-2.99
Pr 0.5726 0.6170 0.4024  2 Al 2.98-2.99
Pr 0.9556 0.3830 0.2855  2 Al 2.98-2.99
Pr 0.6701 0.2145 0.5976  2 Al 2.98-2.99
Pr 0.5726 0.9556 0.6701  2 Al 2.98-2.99
Pr 0.8299 0.9274 0.0444  2 Al 2.98-2.99
Pr 0.4024 0.2855 0.3299  2 Al 2.98-2.99
Pr 0.0726 0.1701 0.4556  2 Al 2.98-2.99
Pr 0.5444 0.3299 0.9274  2 Al 2.98-2.99
Pr 0.8830 0.2855 0.4556  2 Al 2.98-2.99
Pr 0.2855 0.4024 0.8299  2 Al 2.98-2.99
Pr 0.2855 0.8830 0.9556  2 Al 2.98-2.99
Pr 0.6701 0.4556 0.5726  2 Al 2.98-2.99
Pr 0.7855 0.4556 0.3830  2 Al 2.98-2.99
Pr 0.7145 0.5976 0.1701  2 Al 2.98-2.99
Pr 0.7145 0.1170 0.0444  2 Al 2.98-2.99
Pr 0.9274 0.0976 0.8830  2 Al 2.98-2.99
Pr 0.3299 0.7855 0.4024  2 Al 2.98-2.99
Pr 0.0726 0.9024 0.1170  2 Al 2.98-2.99
Pr 0.9274 0.8299 0.5444  2 Al 2.98-2.99
Pr 0.8830 0.5976 0.9274  2 Al 2.98-2.99
Pr 0.1170 0.7145 0.5444  2 Al 2.98-2.99
Al 0.5000 0.5000 0.5000  6 Pr 2.99
Al 0.3750 0.2500 0.1250  4 Pr 2.98
Al 0.0000 0.0000 0.5000  6 Pr 2.99
Al 0.3750 0.1250 0.7500  4 Pr 2.98
Al 0.5000 0.5000 0.0000  6 Pr 2.99
Al 0.6250 0.7500 0.8750  4 Pr 2.98
Al 0.5000 0.0000 0.0000  6 Pr 2.99
Al 0.7500 0.1250 0.8750  4 Pr 2.98
Al 0.0000 0.0000 0.0000  6 Pr 2.99
Al 0.0000 0.5000 0.5000  6 Pr 2.99
Al 0.1250 0.3750 0.2500  4 Pr 2.98
Al 0.8750 0.2500 0.6250  4 Pr 2.98
Al 0.6250 0.8750 0.2500  4 Pr 2.98
Al 0.1250 0.7500 0.3750  4 Pr 2.98
Al 0.7500 0.6250 0.3750  4 Pr 2.98
Al 0.0000 0.5000 0.0000  6 Pr 2.99
Al 0.5000 0.0000 0.5000  6 Pr 2.99
Al 0.2500 0.3750 0.6250  4 Pr 2.98
Al 0.8750 0.6250 0.7500  4 Pr 2.98
Al 0.2500 0.8750 0.1250  4 Pr 2.98


Record 3
A relaxed Pr2DyAl3 crystal, computed with PBE.

Unit cell a=5.2319 b=8.2793 c=7.4292 alpha=90.00 beta=90.00 gamma=71.64
With the nearest neighbours (Å) after each atom.
Positions (direct):
Al 0.1701 0.6596 0.7615  3 Dy 3.11-3.16, 5 Pr 3.21-3.31
Al 0.8299 0.3404 0.2385  3 Dy 3.11-3.16, 5 Pr 3.21-3.31
Al 0.1701 0.6596 0.2385  3 Dy 3.11-3.16, 5 Pr 3.21-3.31
Al 0.5000 0.0000 0.2378  6 Pr 3.16-3.26, 2 Dy 3.17, 1 Al 3.53
Al 0.8299 0.3404 0.7615  3 Dy 3.11-3.16, 5 Pr 3.21-3.31
Al 0.5000 0.0000 0.7622  6 Pr 3.16-3.26, 2 Dy 3.17, 1 Al 3.53
Pr 0.0000 0.0000 0.5000  8 Al 3.26-3.31
Pr 0.6638 0.6724 0.5000  8 Al 3.23-3.26
Pr 0.3362 0.3276 0.5000  8 Al 3.23-3.26
Pr 0.0000 0.0000 0.0000  8 Al 3.16-3.21
Dy 0.3327 0.3347 0.0000  8 Al 3.11-3.17
Dy 0.6673 0.6653 0.0000  8 Al 3.11-3.17


Record 4
A relaxed Pr6Dy2Al crystal, computed with PBE.

Unit cell a=5.4898 b=10.4526 c=10.4599 alpha=90.00 beta=90.01 gamma=90.00
With the nearest neighbours (Å) after each atom.
Positions (direct):
Pr 0.4998 0.8759 0.3769  2 Al 3.30, 3 Pr 3.58-3.65, 4 Dy 3.64-3.66
Pr 0.9998 0.9609 0.8122  1 Al 3.29, 3 Dy 3.41-3.45, 1 Pr 3.59
Pr 0.9997 0.6878 0.5407  1 Al 3.29, 3 Dy 3.42-3.45, 1 Pr 3.58
Pr 0.0003 0.3122 0.4593  1 Al 3.29, 3 Dy 3.42-3.45, 1 Pr 3.58
Pr 0.9998 0.6241 0.8769  2 Al 3.30, 3 Pr 3.58-3.65, 4 Dy 3.64-3.66
Pr 0.5003 0.1878 0.9593  1 Al 3.29, 3 Dy 3.42-3.45, 1 Pr 3.58
Pr 0.0002 0.3759 0.1231  2 Al 3.30, 3 Pr 3.58-3.65, 4 Dy 3.64-3.66
Pr 0.0002 0.0391 0.1878  1 Al 3.29, 3 Dy 3.41-3.45, 1 Pr 3.59
Pr 0.4998 0.5391 0.3122  1 Al 3.29, 3 Dy 3.41-3.45, 1 Pr 3.59
Pr 0.4997 0.8122 0.0407  1 Al 3.29, 3 Dy 3.42-3.45, 1 Pr 3.58
Pr 0.5002 0.1241 0.6231  2 Al 3.30, 3 Pr 3.58-3.65, 4 Dy 3.64-3.66
Pr 0.5002 0.4609 0.6878  1 Al 3.29, 3 Dy 3.41-3.45, 1 Pr 3.59
Al 0.0000 0.0000 0.5000  8 Pr 3.29-3.30
Al 0.5000 0.5000 0.0000  8 Pr 3.29-3.30
Dy 0.9997 0.7137 0.2150  10 Pr 3.41-3.66
Dy 0.5003 0.2137 0.2850  10 Pr 3.41-3.66
Dy 0.4997 0.7863 0.7150  10 Pr 3.41-3.66
Dy 0.0003 0.2863 0.7850  10 Pr 3.41-3.66


Record 5
A relaxed PrDyAl2 crystal, computed with PBE.

Unit cell a=3.6830 b=3.6830 c=7.3305 alpha=90.00 beta=90.00 gamma=90.00
With the nearest neighbours (Å) after each atom.
Positions (direct):
Al 0.0000 0.0000 0.2322  4 Dy 3.11, 4 Pr 3.26, 1 Al 3.40
Al 0.0000 0.0000 0.7678  4 Dy 3.11, 4 Pr 3.26, 1 Al 3.40
Dy 0.5000 0.5000 0.0000  8 Al 3.11
Pr 0.5000 0.5000 0.5000  8 Al 3.26


Record 6
A relaxed PrDyAl2 crystal, computed with PBE.

Unit cell a=4.6727 b=6.8807 c=7.0080 alpha=90.00 beta=90.00 gamma=109.85
With the nearest neighbours (Å) after each atom.
Positions (direct):
Pr 0.9382 0.8764 0.2500  8 Al 3.24-3.40
Pr 0.0618 0.1236 0.7500  8 Al 3.24-3.40
Dy 0.2206 0.4412 0.2500  6 Al 3.10-3.20
Dy 0.7794 0.5588 0.7500  6 Al 3.10-3.20
Al 0.5996 0.1992 0.0631  2 Al 2.62-2.73
Al 0.4004 0.8008 0.5631  2 Al 2.62-2.73
Al 0.5996 0.1992 0.4369  2 Al 2.62-2.73
Al 0.4004 0.8008 0.9369  2 Al 2.62-2.73


Record 7
A relaxed PrDy2Al crystal, computed with PBE.

Unit cell a=3.4896 b=3.4896 c=11.6891 alpha=81.42 beta=81.42 gamma=60.00
With the nearest neighbours (Å) after each atom.
Positions (direct):
Dy 0.8986 0.8986 0.3042  3 Al 3.02
Dy 0.1014 0.1014 0.6958  3 Al 3.02
Pr 0.0000 0.0000 0.0000  6 Pr 3.49, 2 Dy 3.50
Al 0.5000 0.5000 0.5000  6 Dy 3.02


Record 8
A relaxed Pr15Dy4Al crystal, computed with PBE.

Unit cell a=5.1295 b=5.1295 c=25.8602 alpha=90.00 beta=90.00 gamma=90.00
With the nearest neighbours (Å) after each atom.
Positions (direct):
Dy 0.0000 0.0000 0.1962  12 Pr 3.63-3.69
Dy 0.0000 0.0000 0.6010  12 Pr 3.63-3.67
Dy 0.0000 0.0000 0.3990  12 Pr 3.63-3.67
Dy 0.0000 0.0000 0.8038  12 Pr 3.63-3.69
Pr 0.5000 0.0000 0.9064  8 Pr 3.53-3.68, 2 Al 3.53, 2 Dy 3.69
Pr 0.5000 0.5000 0.1956  4 Dy 3.63, 8 Pr 3.67-3.68
Pr 0.0000 0.5000 0.5000  8 Pr 3.63-3.67, 4 Dy 3.66
Pr 0.5000 0.0000 0.5000  8 Pr 3.63-3.67, 4 Dy 3.66
Pr 0.5000 0.5000 0.3984  4 Dy 3.63, 8 Pr 3.66-3.67
Pr 0.5000 0.5000 0.8044  4 Dy 3.63, 8 Pr 3.67-3.68
Pr 0.5000 0.0000 0.0936  8 Pr 3.53-3.68, 2 Al 3.53, 2 Dy 3.69
Pr 0.0000 0.5000 0.7028  8 Pr 3.63-3.67, 4 Dy 3.66-3.67
Pr 0.5000 0.5000 0.0000  8 Pr 3.53, 4 Al 3.63
Pr 0.5000 0.5000 0.6016  4 Dy 3.63, 8 Pr 3.66-3.67
Pr 0.5000 0.0000 0.7028  8 Pr 3.63-3.67, 4 Dy 3.66-3.67
Pr 0.0000 0.5000 0.2972  8 Pr 3.63-3.67, 4 Dy 3.66-3.67
Pr 0.0000 0.5000 0.9064  8 Pr 3.53-3.68, 2 Al 3.53, 2 Dy 3.69
Pr 0.5000 0.0000 0.2972  8 Pr 3.63-3.67, 4 Dy 3.66-3.67
Pr 0.0000 0.5000 0.0936  8 Pr 3.53-3.68, 2 Al 3.53, 2 Dy 3.69
Al 0.0000 0.0000 0.0000  12 Pr 3.53-3.63


Record 9
A relaxed PrDy4Al4 crystal, computed with PBE.

Unit cell a=5.1589 b=9.8070 c=9.8070 alpha=90.00 beta=90.00 gamma=90.00
With the nearest neighbours (Å) after each atom.
Positions (direct):
Al 0.9997 0.5778 0.3217  2 Al 2.70
Al 0.5003 0.0778 0.8217  2 Al 2.70
Al 0.0003 0.6783 0.5778  2 Al 2.70
Al 0.5003 0.9222 0.1783  2 Al 2.70
Al 0.4997 0.8217 0.9222  2 Al 2.70
Al 0.9997 0.4222 0.6783  2 Al 2.70
Al 0.0003 0.3217 0.4222  2 Al 2.70
Al 0.4997 0.1783 0.0778  2 Al 2.70
Dy 0.0003 0.8904 0.3524  4 Al 3.04-3.11
Dy 0.4997 0.3904 0.8524  4 Al 3.04-3.11
Dy 0.9997 0.3524 0.1096  4 Al 3.04-3.11
Dy 0.4997 0.6096 0.1476  4 Al 3.04-3.11
Dy 0.0003 0.1096 0.6476  4 Al 3.04-3.11
Dy 0.9997 0.6476 0.8904  4 Al 3.04-3.11
Dy 0.5003 0.8524 0.6096  4 Al 3.04-3.11
Dy 0.5003 0.1476 0.3904  4 Al 3.04-3.11
Pr 0.5000 0.5000 0.5000  8 Al 3.21
Pr 0.0000 0.0000 0.0000  8 Al 3.21


Record 10
A relaxed Pr4DyAl crystal, computed with PBE.

Unit cell a=6.4362 b=9.2220 c=8.4340 alpha=113.84 beta=100.22 gamma=111.92
With the nearest neighbours (Å) after each atom.
Positions (direct):
Pr 0.7658 0.3922 0.2211  2 Al 3.28-3.31, 2 Pr 3.43-3.55, 2 Dy 3.44-3.61
Pr 0.9553 0.8290 0.2211  2 Al 3.28-3.31, 2 Pr 3.43-3.55, 2 Dy 3.44-3.61
Pr 0.7651 0.7158 0.6335  2 Al 3.18-3.19, 3 Pr 3.43-3.55
Pr 0.2349 0.2842 0.3665  2 Al 3.18-3.19, 3 Pr 3.43-3.55
Pr 0.3684 0.9177 0.6335  2 Al 3.18-3.19, 3 Pr 3.43-3.55
Pr 0.2342 0.6078 0.7789  2 Al 3.28-3.31, 2 Pr 3.43-3.55, 2 Dy 3.44-3.61
Pr 0.6316 0.0823 0.3665  2 Al 3.18-3.19, 3 Pr 3.43-3.55
Pr 0.0447 0.1710 0.7789  2 Al 3.28-3.31, 2 Pr 3.43-3.55, 2 Dy 3.44-3.61
Al 0.7499 0.9999 0.9998  8 Pr 3.18-3.31, 2 Al 3.22
Al 0.2501 0.0001 0.0002  8 Pr 3.18-3.31, 2 Al 3.22
Dy 0.3421 0.5921 0.1842  8 Pr 3.44-3.69
Dy 0.6579 0.4079 0.8158  8 Pr 3.44-3.69


Record 11
A relaxed PrDyAl6 crystal, computed with PBE.

Unit cell a=4.6568 b=6.3980 c=6.3980 alpha=120.00 beta=90.00 gamma=90.00
With the nearest neighbours (Å) after each atom.
Positions (direct):
Dy 0.0000 0.0833 0.9167  12 Al 3.13-3.21
Al 0.5000 0.8945 0.5392  6 Al 2.77-2.82
Al 0.5000 0.4608 0.1055  6 Al 2.77-2.82
Al 0.0000 0.6083 0.3917  6 Al 2.72-2.82
Al 0.0000 0.6083 0.9668  6 Al 2.72-2.82
Al 0.0000 0.0332 0.3917  6 Al 2.72-2.82
Al 0.5000 0.8945 0.1055  6 Al 2.78-2.82
Pr 0.5000 0.4166 0.5834  12 Al 3.15-3.21


Record 12
A relaxed Pr2Dy3Al crystal, computed with PBE.

Unit cell a=4.9070 b=4.8472 c=7.9514 alpha=107.75 beta=90.00 gamma=90.00
With the nearest neighbours (Å) after each atom.
Positions (direct):
Pr 0.0000 0.3410 0.6820  2 Al 3.42, 8 Dy 3.44-3.67, 2 Pr 3.67
Pr 0.0000 0.6590 0.3180  2 Al 3.42, 8 Dy 3.44-3.67, 2 Pr 3.67
Dy 0.5000 0.8394 0.6788  4 Dy 3.43-3.63, 6 Pr 3.45-3.67, 2 Al 3.45
Dy 0.5000 0.5000 0.0000  4 Dy 3.43, 4 Pr 3.44, 4 Al 3.45
Dy 0.5000 0.1606 0.3212  4 Dy 3.43-3.63, 6 Pr 3.45-3.67, 2 Al 3.45
Al 0.0000 0.0000 0.0000  4 Pr 3.42, 8 Dy 3.45


Values of energy relative to the elements, in order: 457; 555; -356; -11; -372; -371; 72; -13; -162; -22; -429; -72, all in meV/atom.
Values of VASP energy, in order: -4.04; -3.94; -4.59; -4.64; -4.59; -4.59; -4.36; -4.70; -4.40; -4.60; -4.41; -4.59, all in eV per atom.